(1)
First-principles (GGA-PBEsol) data for an optimized crystal structure of SbAu3, as listed in Alexandria.

Geometry as extended XYZ:
```
8
Lattice="-0.690 -4.060 -0.886 4.126 -0.777 0.345 -2.714 0.789 8.513" Properties=species:S:1:pos:R:3 pbc="T T T"
Au 2.063 -0.388 0.173
Au -0.844 -2.845 3.678
Au 1.565 -1.203 4.294
Au -0.251 -0.410 2.074
Au -0.345 -2.030 -0.443
Au 0.972 -3.638 5.898
Sb -0.747 -1.222 6.181
Sb 1.469 -2.826 1.792
```

## Properties
energy relative to the elements, uncorrected = 0.048 eV per atom
Fermi-level density of states = 0.344 states/eV per atom
magnetic moment = 0.00 μB per formula unit
total DFT energy (no corrections) = -4.034 eV/atom


(2)
First-principles (GGA-PBEsol) data for an optimized crystal structure of Sb5Au4, as listed in Alexandria.

Geometry as extended XYZ:
```
9
Lattice="-2.925 -4.132 1.644 3.317 -5.834 -0.144 0.451 -1.121 6.603" Properties=species:S:1:pos:R:3 pbc="T T T"
Au 2.337 -4.223 2.162
Au 1.480 -5.990 4.813
Au 1.431 -2.732 4.297
Au -0.637 -5.097 3.290
Sb 0.000 0.000 0.000
Sb 0.101 -6.518 1.032
Sb -1.713 -3.534 5.304
Sb 0.291 -3.448 0.468
Sb -0.760 -1.719 2.943
```

## Properties
energy relative to the elements, uncorrected = 0.154 eV per atom
Fermi-level density of states = 0.426 states/eV per atom
magnetic moment = 0.00 μB per formula unit
total DFT energy (no corrections) = -4.122 eV/atom


(3)
First-principles (GGA-PBEsol) data for an optimized crystal structure of SbAu3, as listed in Alexandria.

Geometry as extended XYZ:
```
4
Lattice="3.837 0.000 0.000 1.919 3.323 0.000 1.919 1.108 6.539" Properties=species:S:1:pos:R:3 pbc="T T T"
Au 5.756 3.323 4.850
Au 3.837 2.215 3.270
Au 1.919 1.108 1.690
Sb 0.000 0.000 0.000
```

## Properties
energy relative to the elements, uncorrected = 0.068 eV per atom
Fermi-level density of states = 0.357 states/eV per atom
magnetic moment = 0.00 μB per formula unit
total DFT energy (no corrections) = -4.014 eV/atom


(4)
First-principles (GGA-PBEsol) data for an optimized crystal structure of Sb5Au24, as listed in Alexandria.

Geometry as extended XYZ:
```
29
Lattice="8.876 0.000 0.000 -2.959 8.368 0.000 -2.959 -4.184 7.247" Properties=species:S:1:pos:R:3 pbc="T T T"
Au 1.706 -0.004 2.784
Au -0.572 1.607 2.784
Au -2.644 3.531 2.279
Au 4.211 2.632 0.000
Au -1.252 -1.771 5.858
Au 3.273 -0.653 4.968
Au 4.211 -1.316 2.279
Au -2.644 0.208 4.198
Au -1.252 5.959 1.395
Au 3.077 6.757 0.000
Au 5.345 5.154 0.000
Au 6.036 0.806 1.395
Au 0.314 4.392 3.049
Au 3.077 -3.379 5.852
Au -4.211 1.775 5.852
Au 4.036 1.761 3.049
Au -4.211 4.180 4.463
Au -1.706 2.868 4.968
Au 3.273 4.629 1.919
Au 1.706 2.413 1.389
Au 0.314 0.445 5.328
Au 1.078 4.847 0.000
Au 1.078 -2.424 4.198
Au 5.345 -2.577 4.463
Sb 3.384 0.000 0.000
Sb 1.831 2.589 4.484
Sb 0.000 0.000 0.000
Sb -1.128 -1.595 2.763
Sb -1.128 3.191 0.000
```

## Properties
energy relative to the elements, uncorrected = 0.050 eV per atom
Fermi-level density of states = 0.340 states/eV per atom
magnetic moment = 0.00 μB per formula unit
total DFT energy (no corrections) = -3.984 eV/atom


(5)
First-principles (GGA-PBEsol) data for an optimized crystal structure of Sb3Au, as listed in Alexandria.

Geometry as extended XYZ:
```
4
Lattice="4.175 0.000 0.000 2.088 3.616 0.000 2.088 1.205 6.696" Properties=species:S:1:pos:R:3 pbc="T T T"
Sb 4.175 2.411 3.348
Sb 2.088 1.205 1.465
Sb 6.263 3.616 5.232
Au 0.000 0.000 0.000
```

## Properties
energy relative to the elements, uncorrected = -0.039 eV per atom
Fermi-level density of states = 0.503 states/eV per atom
magnetic moment = 0.00 μB per formula unit
energy above the lowest structure with this stoichiometry = 0.000 eV/f.u.
total DFT energy (no corrections) = -4.438 eV/atom


(6)
First-principles (GGA-PBEsol) data for an optimized crystal structure of Sb2Au3, as listed in Alexandria.

Geometry as extended XYZ:
```
10
Lattice="-0.481 -5.584 -0.342 5.275 -3.292 0.225 -0.280 2.421 6.954" Properties=species:S:1:pos:R:3 pbc="T T T"
Au 4.366 -6.850 1.893
Au 0.026 -1.011 4.858
Au 1.762 -5.180 1.342
Au 2.384 -1.757 3.508
Au -0.475 -5.510 -0.338
Au 2.389 -5.473 5.237
Sb 3.199 -2.795 6.027
Sb 3.945 -4.060 2.594
Sb 1.429 -2.328 0.891
Sb 0.443 -3.854 4.153
```

## Properties
energy relative to the elements, uncorrected = 0.020 eV per atom
Fermi-level density of states = 0.350 states/eV per atom
magnetic moment = 0.00 μB per formula unit
total DFT energy (no corrections) = -4.157 eV/atom


Among the records above, which one has the lowest Fermi-level density of states? Sb5Au24


What is the Fermi-level density of states in the fourth record? 0.340 states/eV per atom